{
  "formula": "RbTl3In",
  "functional": "PBE",
  "state": "relaxed",
  "lattice": [[3.7857, -3.7755, 0.0000], [3.7857, 3.7755, 0.0000], [-3.7708, 0.0000, 6.3233]],
  "species": ["Rb", "Tl", "Tl", "Tl", "In"],
  "frac_coords": [[0.0000, 0.0000, 0.0000], [0.2504, 0.7516, 0.5021], [0.6115, 0.6115, 0.2237], [0.7516, 0.2504, 0.5021], [0.3763, 0.3763, 0.7519]],
  "space_group": "No. 8",
  "rho_g_cm3": 7.473,
  "de_polymorph_mev_per_atom": 0,
  "n_ef_per_ev_atom": 0.5704,
  "final_energy_ev_per_atom": -2.232
}